1.
Compound: Cs3MnSe
Source: Alexandria via LeMat-Bulk
Functional: GGA-PBEsol
Structure: relaxed

Lattice parameters (Å, degrees): 6.1566 6.1566 6.1566 90.00 90.00 90.00
Sites, in units of the cell vectors:
Cs 0.0000 0.0000 0.5000
Cs 0.0000 0.5000 0.0000
Cs 0.5000 0.0000 0.0000
Mn 0.0000 0.0000 0.0000
Se 0.5000 0.5000 0.5000

Calculated values
The density of states at the Fermi level comes out at 4.37 states/eV/f.u. For the calculated total energy, the calculation gives -2.838 eV/atom. As for the uncorrected formation energy: 2.247 eV/f.u.

2.
Compound: CaCuMo2
Source: Alexandria via LeMat-Bulk
Functional: GGA-PBEsol
Structure: relaxed

Lattice parameters (Å, degrees): 2.6832 2.6832 9.0478 90.00 90.00 90.00
Sites, in units of the cell vectors:
Ca 0.0000 0.0000 0.0000
Cu 0.5000 0.5000 0.2561
Mo 0.0000 0.0000 0.4606
Mo 0.5000 0.5000 0.7113

Calculated values
The density of states at the Fermi level comes out at 2.47 states/eV/f.u. For the calculated total energy, the calculation gives -6.966 eV/atom. As for the energy relative to the elements: 0.535 eV/atom. For the relative energy among the computed polymorphs, the calculation gives 0.000 eV/atom.

3.
Compound: CuPt
Source: Alexandria via LeMat-Bulk
Functional: GGA-PBEsol
Structure: relaxed

Lattice parameters (Å, degrees): 2.6838 2.6838 4.2993 90.00 90.00 120.00
Sites, in units of the cell vectors:
Cu 0.0000 0.0000 0.0000
Pt 0.6667 0.3333 0.5000

Calculated values
The density of states at the Fermi level comes out at 1.06 states/eV/f.u. For the calculated total energy, the calculation gives -5.776 eV/atom. As for the energy relative to the elements: -0.127 eV/atom.

4.
Compound: HfTcCl2
Source: Alexandria via LeMat-Bulk
Functional: GGA-PBEsol
Structure: relaxed

Lattice parameters (Å, degrees): 8.6760 8.6760 8.6760 20.39 20.39 20.39
Sites, in units of the cell vectors:
Hf 0.0000 0.0000 0.0000
Tc 0.5000 0.5000 0.5000
Cl 0.0979 0.0979 0.0979
Cl 0.9021 0.9021 0.9021

Calculated values
The density of states at the Fermi level comes out at 4.70 states/eV/f.u. For the calculated total energy, the calculation gives -6.341 eV/atom. As for the uncorrected formation energy: 0.420 eV/f.u.

5.
Compound: MoCl3
Source: Alexandria via LeMat-Bulk
Functional: GGA-PBEsol
Structure: relaxed

Lattice parameters (Å, degrees): 5.6460 5.6460 12.5949 90.43 90.43 115.00
Sites, in units of the cell vectors:
Mo 0.0223 0.9777 0.7500
Mo 0.2909 0.7091 0.7500
Mo 0.7091 0.2909 0.2500
Mo 0.9777 0.0223 0.2500
Cl 0.0054 0.6577 0.3537
Cl 0.0073 0.3205 0.1158
Cl 0.3205 0.0073 0.6158
Cl 0.3195 0.3445 0.8537
Cl 0.3423 0.9946 0.1463
Cl 0.3445 0.3195 0.3537
Cl 0.6555 0.6805 0.6463
Cl 0.6577 0.0054 0.8537
Cl 0.6805 0.6555 0.1463
Cl 0.6795 0.9927 0.3842
Cl 0.9927 0.6795 0.8842
Cl 0.9946 0.3423 0.6463

Calculated values
The density of states at the Fermi level comes out at 0.15 states/eV/f.u. For the calculated total energy, the calculation gives -5.327 eV/atom. As for the uncorrected formation energy: -3.516 eV/f.u. For the relative energy among the computed polymorphs, the calculation gives 0.000 eV/atom.

6.
Compound: Zr2Sb
Source: Alexandria via LeMat-Bulk
Functional: GGA-PBEsol
Structure: relaxed

Lattice parameters (Å, degrees): 8.4116 8.4116 8.4116 151.93 151.93 40.11
Sites, in units of the cell vectors:
Zr 0.0000 0.5000 0.5000
Zr 0.1774 0.1774 0.0000
Zr 0.5000 0.0000 0.5000
Zr 0.8226 0.8226 0.0000
Sb 0.3616 0.3616 0.0000
Sb 0.6384 0.6384 0.0000

Calculated values
The density of states at the Fermi level comes out at 2.33 states/eV/f.u. For the calculated total energy, the calculation gives -8.286 eV/atom. As for the uncorrected formation energy: -2.121 eV/f.u.

7.
Compound: PrAlO3
Source: Alexandria via LeMat-Bulk
Functional: GGA-PBEsol
Structure: relaxed

Lattice parameters (Å, degrees): 3.7498 3.7498 3.7498 90.00 90.00 90.00
Sites, in units of the cell vectors:
Pr 0.0000 0.0000 0.0000
Al 0.5000 0.5000 0.5000
O 0.0000 0.5000 0.5000
O 0.5000 0.0000 0.5000
O 0.5000 0.5000 0.0000

Calculated values
The density of states at the Fermi level comes out at 0.00 states/eV/f.u. For the calculated total energy, the calculation gives -8.316 eV/atom. As for the uncorrected formation energy: -16.555 eV/f.u.

8.
Compound: Na3LiSn
Source: Alexandria via LeMat-Bulk
Functional: GGA-PBEsol
Structure: relaxed

Lattice parameters (Å, degrees): 5.8693 5.8693 5.8693 90.00 90.00 90.00
Sites, in units of the cell vectors:
Na 0.0000 0.0000 0.5000
Na 0.0000 0.5000 0.0000
Na 0.5000 0.0000 0.0000
Li 0.5000 0.5000 0.5000
Sn 0.0000 0.0000 0.0000

Calculated values
The density of states at the Fermi level comes out at 3.48 states/eV/f.u. For the calculated total energy, the calculation gives -1.917 eV/atom. As for the energy relative to the elements: 0.168 eV/atom. For the relative energy among the computed polymorphs, the calculation gives 0.000 eV/atom.